First-principles (PBE-GGA) data for an optimized crystal structure of Y4RhAu, as listed in Alexandria.

Unit cell a=4.9073 b=4.9090 c=6.9371 alpha=89.88 beta=89.94 gamma=90.00
Closest atoms and distances in Å follow each position.
Fractional coordinates of all 6 atoms:
Y: 0.5011 0.9968 0.2558  2 Rh 2.97-2.98, 2 Au 3.04
Y: 0.5015 0.9978 0.7405  2 Rh 2.97-2.98, 2 Au 3.04
Y: 0.0016 0.4978 0.7405  2 Rh 2.97-2.98, 2 Au 3.03-3.04
Y: 0.0011 0.4968 0.2558  2 Rh 2.97-2.98, 2 Au 3.04
Rh: 0.0013 0.9973 0.4981  8 Y 2.97-2.98
Au: 0.5013 0.4973 0.9981  8 Y 3.03-3.04

Calculated values
formation energy from the elements: -0.50 eV/atom
SG: No. 12
distance to the lowest polymorph of the same formula: 0.087 eV/atom

First-principles (PBE-GGA) data for an optimized crystal structure of Y6RhAu3, as listed in Alexandria.

Unit cell a=6.9053 b=7.7131 c=10.3302 alpha=90.00 beta=87.90 gamma=90.00
Closest atoms and distances in Å follow each position.
Fractional coordinates of all 20 atoms:
Y: 0.6724 0.1686 0.9292  1 Rh 2.73, 2 Au 2.90-2.98
Y: 0.6483 0.1871 0.5722  1 Rh 2.74, 2 Au 2.90-3.03
Y: 0.6643 0.4512 0.2557  1 Rh 2.75, 3 Au 2.94-3.01
Y: 0.3357 0.5488 0.7443  1 Rh 2.75, 3 Au 2.94-3.01
Y: 0.3517 0.8129 0.4278  1 Rh 2.74, 2 Au 2.90-3.03
Y: 0.3276 0.8314 0.0708  1 Rh 2.73, 2 Au 2.90-2.98
Y: 0.1724 0.3314 0.4292  1 Rh 2.73, 2 Au 2.90-2.98
Y: 0.1483 0.3129 0.0722  1 Rh 2.74, 2 Au 2.90-3.03
Y: 0.1643 0.0488 0.7557  1 Rh 2.75, 3 Au 2.94-3.01
Y: 0.8357 0.9512 0.2443  1 Rh 2.75, 3 Au 2.94-3.01
Y: 0.8517 0.6871 0.9278  1 Rh 2.74, 2 Au 2.90-3.03
Y: 0.8276 0.6686 0.5708  1 Rh 2.73, 2 Au 2.90-2.98
Rh: 0.5000 0.5000 0.5000  6 Y 2.73-2.75
Rh: 0.0000 0.0000 0.0000  6 Y 2.73-2.75
Au: 0.5582 0.8841 0.7519  6 Y 2.98-3.16
Au: 0.5000 0.5000 0.0000  6 Y 2.90-2.94
Au: 0.4418 0.1159 0.2481  6 Y 2.98-3.16
Au: 0.0582 0.6159 0.2519  6 Y 2.98-3.16
Au: 0.0000 0.0000 0.5000  6 Y 2.90-2.94
Au: 0.9418 0.3841 0.7481  6 Y 2.98-3.16

Calculated values
formation energy from the elements: -0.64 eV/atom
SG: No. 14

First-principles (PBE-GGA) data for an optimized crystal structure of YRhAu2, as listed in Alexandria.

Unit cell a=3.5577 b=3.6492 c=5.9520 alpha=90.00 beta=90.00 gamma=90.00
Closest atoms and distances in Å follow each position.
Fractional coordinates of all 4 atoms:
Au: 0.0000 0.0000 0.0134  2 Rh 2.87-3.08, 4 Au 2.92, 4 Y 3.03
Au: 0.5000 0.5000 0.2534  2 Y 2.88-3.07, 4 Au 2.92, 4 Rh 2.93
Rh: 0.0000 0.0000 0.4957  6 Au 2.87-3.08, 4 Y 2.93
Y: 0.5000 0.5000 0.7375  6 Au 2.88-3.07, 4 Rh 2.93

Calculated values
formation energy from the elements: -0.53 eV/atom
SG: No. 25

First-principles (PBE-GGA) data for an optimized crystal structure of YRhAu4, as listed in Alexandria.

Unit cell a=5.4781 b=5.4781 c=5.4781 alpha=60.00 beta=60.00 gamma=60.00
Closest atoms and distances in Å follow each position.
Fractional coordinates of all 6 atoms:
Y: 0.0000 0.0000 0.0000  12 Au 3.21, 4 Rh 3.35
Rh: 0.7500 0.7500 0.7500  12 Au 3.21, 4 Y 3.35
Au: 0.8737 0.3754 0.3754  6 Au 2.73-2.75
Au: 0.3754 0.3754 0.8737  6 Au 2.73-2.75
Au: 0.3754 0.8737 0.3754  6 Au 2.73-2.75
Au: 0.3754 0.3754 0.3754  6 Au 2.73-2.75

Calculated values
formation energy from the elements: -0.30 eV/atom
SG: No. 216

First-principles (PBE-GGA) data for an optimized crystal structure of YRh2Au, as listed in Alexandria.

Unit cell a=4.2091 b=4.2091 c=3.9667 alpha=90.00 beta=90.00 gamma=89.99
Closest atoms and distances in Å follow each position.
Fractional coordinates of all 4 atoms:
Y: 0.5000 0.0000 0.5000  8 Rh 2.89, 4 Au 2.98
Rh: 0.0000 0.0000 0.0000  4 Y 2.89, 4 Au 2.89, 4 Rh 2.98
Rh: 0.5000 0.5000 0.0000  4 Au 2.89, 4 Y 2.89, 4 Rh 2.98
Au: 0.0000 0.5000 0.5000  8 Rh 2.89, 4 Y 2.98

Calculated values
formation energy from the elements: -0.56 eV/atom
SG: No. 123

First-principles (PBE-GGA) data for an optimized crystal structure of Y2Rh4Au, as listed in Alexandria.

Unit cell a=4.8774 b=4.8774 c=7.6348 alpha=71.37 beta=71.37 gamma=90.00
Closest atoms and distances in Å follow each position.
Fractional coordinates of all 7 atoms:
Y: 0.6279 0.6279 0.7442  1 Rh 2.47
Y: 0.3721 0.3721 0.2558  1 Rh 2.47
Rh: 0.8090 0.8090 0.3819  1 Y 2.47, 1 Au 2.60
Rh: 0.1910 0.1910 0.6181  1 Y 2.47, 1 Au 2.60
Rh: 0.0000 0.5000 0.0000  2 Au 2.44
Rh: 0.5000 0.0000 0.0000  2 Au 2.44
Au: 0.0000 0.0000 0.0000  6 Rh 2.44-2.60

Calculated values
formation energy from the elements: 0.41 eV/atom
SG: No. 139

| no. | magnetic moment (μB/cell) |
| --- | --- |
| 1 | 0.00 |
| 2 | 0.00 |
| 3 | 0.00 |
| 4 | 0.00 |
| 5 | 0.00 |
| 6 | 0.46 |